## TiAgSeBr2 (PBE)

Data for a relaxed TiAgSeBr2 crystal.

Cell: 5.1494 5.1494 4.9523 Å, 90.00 90.00 90.00°
Element x y z (fractional)
Br: 0.5000 0.0000 0.0000
Ag: 0.5000 0.5000 0.5000
Ti: 0.0000 0.0000 0.0000
Se: 0.0000 0.0000 0.5000
Br: 0.0000 0.5000 0.0000

Properties
E_form (uncorrected) in eV per atom: -0.41
Relative energy among the computed polymorphs in meV per atom: 0.0
Calculated volume in A^3/atom: 26.3
Space group: P4/mmm